[1]
Hf3Zr (PBE-GGA, optimized geometry); crystal system = tetragonal; ΔH_f (0 K) = 0.07 eV per atom; excess energy over the best structure of this formula in the dataset = 0.27 eV per formula unit; symmetry = I4/mmm
1.0
-2.238 2.238 4.520
2.238 -2.238 4.520
2.238 2.238 -4.520
Hf Zr
3 1
direct
0.000 0.000 0.000
0.250 0.750 0.500
0.750 0.250 0.500
0.500 0.500 0.000


[2]
PuPa2Ni (PBE-GGA, optimized geometry); crystal system = trigonal; ΔH_f (0 K) = 0.22 eV per atom; excess energy over the best structure of this formula in the dataset = 1.25 eV per formula unit; symmetry = R-3m
1.0
1.765 1.019 7.238
-1.765 1.019 7.238
0.000 -2.038 7.238
Pu Pa Ni
1 2 1
direct
0.000 0.000 0.000
0.254 0.254 0.254
0.746 0.746 0.746
0.500 0.500 0.500


[3]
GeBi4Te7 (PBE-GGA, optimized geometry); crystal system = trigonal; symmetry = P-3m1; formation energy from raw total energies = -243 kJ/mol of formula units
1.0
4.412 0.000 0.000
-2.206 3.821 0.000
0.000 0.000 24.677
Ge Bi Te
1 4 7
direct
0.000 0.000 0.000
0.333 0.667 0.584
0.333 0.667 0.848
0.667 0.333 0.152
0.667 0.333 0.416
0.000 0.000 0.223
0.000 0.000 0.500
0.000 0.000 0.777
0.333 0.667 0.067
0.333 0.667 0.346
0.667 0.333 0.654
0.667 0.333 0.933


[4]
Sr2LiTaO6 (PBE-GGA, optimized geometry); crystal system = cubic; symmetry = Fm-3m; formation energy from raw total energies = -2299 kJ/mol of formula units
1.0
0.000 4.033 4.033
4.033 0.000 4.033
4.033 4.033 0.000
Sr Li Ta O
2 1 1 6
direct
0.250 0.250 0.250
0.750 0.750 0.750
0.000 0.000 0.000
0.500 0.500 0.500
0.254 0.254 0.746
0.254 0.746 0.254
0.254 0.746 0.746
0.746 0.254 0.254
0.746 0.254 0.746
0.746 0.746 0.254


[5]
ZnInAgB2 (PBE-GGA, optimized geometry); crystal system = tetragonal; ΔH_f (0 K) = 1.72 eV per atom; symmetry = P4/mmm
1.0
4.424 0.000 0.000
0.000 4.424 0.000
0.000 0.000 5.298
Zn In Ag B
1 1 1 2
direct
0.000 0.000 0.000
0.000 0.000 0.500
0.500 0.500 0.000
0.000 0.500 0.500
0.500 0.000 0.500


[6]
Li2FeCuN (PBE-GGA, optimized geometry); crystal system = tetragonal; symmetry = P4/mmm; formation energy from raw total energies = -57 kJ/mol of formula units
1.0
3.907 0.000 0.000
0.000 3.907 0.000
0.000 0.000 3.546
Li Fe Cu N
2 1 1 1
direct
0.000 0.500 0.000
0.500 0.000 0.000
0.000 0.000 0.500
0.500 0.500 0.500
0.000 0.000 0.000


[7]
La5Pm2Er5 (PBE-GGA, optimized geometry); crystal system = monoclinic; ΔH_f (0 K) = 0.03 eV per atom; symmetry = C2/m
1.0
7.723 -2.558 0.000
7.723 2.558 0.000
-5.162 0.000 10.286
La Pm Er
5 2 5
direct
0.000 0.000 0.000
0.087 0.087 0.753
0.165 0.165 0.499
0.835 0.835 0.501
0.913 0.913 0.247
0.417 0.417 0.752
0.583 0.583 0.248
0.249 0.249 0.247
0.330 0.330 0.998
0.500 0.500 0.500
0.670 0.670 0.002
0.751 0.751 0.753


[8]
Nb2VGa (PBE-GGA, optimized geometry); crystal system = tetragonal; ΔH_f (0 K) = -0.16 eV per atom; symmetry = P4/mmm
1.0
3.309 0.000 0.000
0.000 3.309 0.000
0.000 0.000 5.948
Nb V Ga
2 1 1
direct
0.000 0.000 0.245
0.000 0.000 0.755
0.500 0.500 0.000
0.500 0.500 0.500


What total magnetic moment values result from the calculations? In sequence: 0.00, 0.00, 0.00, 2.05, 0.00, 0.50, 0.00, 0.00 μB per formula unit.
What DFT total energy values result from the calculations? In sequence: -9.536, -9.555, -3.721, -7.070, -2.323, -5.061, -4.717, -8.236 eV/atom.